(1)
NbCoPd | PBE-GGA | optimized geometry

Cell lengths 3.192, 3.192, 8.726 Å; angles 90.00, 90.00, 90.00 degrees
Space group I4mm (No. 107)
One atom of each set of equivalent atoms:
Nb  0.000  0.000  0.000
Co  0.000  0.000  0.633
Pd  0.000  0.000  0.315

Calculated values
- Energy relative to the elements: -170 meV per atom
- Total moment: 0.00 μB per formula unit
- ΔE to the lowest computed polymorph: 89 meV/atom
- Total energy: -22.88 eV/f.u.


(2)
Tb3Sb2Te | PBE-GGA | optimized geometry

Cell lengths 4.400, 6.217, 13.154 Å; angles 90.00, 90.00, 90.00 degrees
Space group Immm (No. 71)
One atom of each set of equivalent atoms:
Tb  0.000  0.000  0.000
Tb  0.000  0.000  0.328
Sb  0.000  0.500  0.335
Te  0.000  0.500  0.000

Calculated values
- Total moment: 0.00 μB per formula unit
- ΔE to the lowest computed polymorph: 3 meV/atom
- E_form (uncorrected): -1.251 eV per atom
- Total energy: -32.78 eV/f.u.


(3)
Y8SnSb3Te4 | PBE-GGA | optimized geometry

Cell lengths 8.7780, 8.7780, 21.5240 Å; angles 90.00, 90.00, 120.00 degrees
Space group R-3m (No. 166, hexagonal axes)
One atom of each set of equivalent atoms:
Y  0.0000  0.0000  0.2461
Y  0.0030  0.5015  0.2458
Sn  0.0000  0.0000  0.5000
Sb  0.0000  0.5000  0.5000
Te  0.0000  0.0000  0.0000
Te  0.0000  0.5000  0.0000

Calculated values
- Total moment: 0.00 μB per formula unit
- E_form (uncorrected): -1.243 eV per atom
- Total energy: -100.53 eV/f.u.


(4)
RbSbICl2 | PBE-GGA | optimized geometry

Cell lengths 5.470, 5.470, 6.439 Å; angles 90.00, 90.00, 90.00 degrees
Space group P4/mmm (No. 123)
One atom of each set of equivalent atoms:
Rb  0.000  0.000  0.000
Sb  0.500  0.500  0.500
I  0.500  0.500  0.000
Cl  0.000  0.500  0.500

Calculated values
- Total moment: 0.00 μB per formula unit
- E_form (uncorrected): -0.951 eV per atom
- Total energy: -15.09 eV/f.u.


(5)
SbAs2SeS | PBE-GGA | optimized geometry

Cell lengths 4.889, 4.889, 4.795 Å; angles 90.00, 90.00, 90.00 degrees
Space group P4/mmm (No. 123)
One atom of each set of equivalent atoms:
Sb  0.000  0.000  0.000
As  0.000  0.500  0.500
Se  0.500  0.500  0.000
S  0.500  0.500  0.500

Calculated values
- Total moment: 0.00 μB per formula unit
- ΔE to the lowest computed polymorph: 0 meV/atom
- E_form (uncorrected): 0.576 eV per atom
- Total energy: -18.15 eV/f.u.


(6)
LiLaSmRu | PBE-GGA | optimized geometry

Cell lengths 7.188, 7.188, 7.188 Å; angles 90.00, 90.00, 90.00 degrees
Space group F-43m (No. 216)
One atom of each set of equivalent atoms:
Li  0.000  0.000  0.000
La  0.250  0.250  0.750
Sm  0.250  0.250  0.250
Ru  0.000  0.000  0.500

Calculated values
- Energy relative to the elements: -153 meV per atom
- Total moment: 0.00 μB per formula unit
- Total energy: -21.45 eV/f.u.


(7)
KMn2Cl8 | PBE-GGA | optimized geometry

Cell lengths 8.2920, 8.2920, 6.7519 Å; angles 90.00, 90.00, 120.00 degrees
Space group P-3m1 (No. 164)
One atom of each set of equivalent atoms:
K  0.0000  0.0000  0.0000
Mn  0.3333  0.6667  0.3505
Cl  0.1877  0.3753  0.2585
Cl  0.3333  0.6667  0.6645

Calculated values
- Total moment: 7.00 μB per formula unit
- ΔE to the lowest computed polymorph: 50 meV/atom
- E_form (uncorrected): -0.972 eV per atom
- Total energy: -44.90 eV/f.u.


(8)
RbSi2Te8Pt | PBE-GGA | optimized geometry

Cell lengths 6.4648, 6.4648, 35.6120 Å; angles 90.00, 90.00, 120.00 degrees
Space group R-3 (No. 148, hexagonal axes)
One atom of each set of equivalent atoms:
Rb  0.0000  0.0000  0.0000
Si  0.0000  0.0000  0.2380
Te  0.0000  0.0000  0.3068
Te  0.0132  0.3896  0.7847
Pt  0.0000  0.0000  0.5000

Calculated values
- Total moment: 0.00 μB per formula unit
- E_form (uncorrected): -0.118 eV per atom
- Total energy: -44.40 eV/f.u.


Looking at density of states at the Fermi level for the records above, in order, we have 5.2; 3.6; 18.7; 2.4; 5.3; 10.0; 15.6; 31.5 states/eV per cell.